Mo2BrCl | GGA-PBE | optimized geometry

a b c (Å): 2.8900 5.6806 8.8723
angles (deg): 90.00 90.00 90.00
Last column: nearest neighbours and their distance in Å.
Space group Cmmm (No. 65)
Unique sites:
Mo 0.0000 0.0000 0.2428 [4 per cell]  2 Cl 2.59, 2 Br 2.70, 2 Mo 2.89
Br 0.0000 0.5000 0.5000 [2 per cell]  4 Mo 2.70, 2 Br 2.89
Cl 0.0000 0.5000 0.0000 [2 per cell]  4 Mo 2.59, 2 Cl 2.89

Results
The density of states at the Fermi level is 1.190 states/eV/atom. The calculation puts the calculated total energy at -21.8 eV/f.u. The value obtained for the offset from the most stable computed form is 989.9 meV per atom. For the uncorrected formation energy, the calculation gives 0.852 eV per atom. As for the mass density: 7.01 g cm⁻³.